(1)
Density functional theory data (PBE) for a relaxed structure of Pm2PSe.

Unit cell a=4.1430 b=5.8724 c=8.4149 alpha=90.00 beta=90.00 gamma=90.00
With the nearest neighbours (Å) after each atom.
Sites, in units of the cell vectors:
Pm: 0.2500 0.2500 0.1118  4 P 2.87-2.94, 2 Se 3.06
Pm: 0.2500 0.2500 0.6454  2 P 2.83, 4 Se 2.94-3.05
Pm: 0.7500 0.7500 0.3546  2 P 2.83, 4 Se 2.94-3.05
Pm: 0.7500 0.7500 0.8882  4 P 2.87-2.94, 2 Se 3.06
P: 0.2500 0.7500 0.1249  6 Pm 2.83-2.94
P: 0.7500 0.2500 0.8751  6 Pm 2.83-2.94
Se: 0.2500 0.7500 0.6210  6 Pm 2.94-3.06
Se: 0.7500 0.2500 0.3790  6 Pm 2.94-3.06

Results
Symmetry   No. 59
Crystal system   orthorhombic
Distance to the lowest polymorph of the same formula   0.00 eV/f.u.


(2)
Density functional theory data (PBE) for a relaxed structure of PmDyTm.

Unit cell a=17.2608 b=3.5817 c=6.1951 alpha=90.00 beta=96.87 gamma=90.00
With the nearest neighbours (Å) after each atom.
Sites, in units of the cell vectors:
Pm: 0.2493 0.0000 0.2506  3 Tm 3.54-3.55, 3 Dy 3.54-3.56, 6 Pm 3.57-3.59
Pm: 0.2507 0.5000 0.7494  3 Tm 3.54-3.55, 3 Dy 3.54-3.56, 6 Pm 3.57-3.59
Pm: 0.7493 0.5000 0.2506  3 Tm 3.54-3.55, 3 Dy 3.54-3.56, 6 Pm 3.57-3.59
Pm: 0.7507 0.0000 0.7494  3 Tm 3.54-3.55, 3 Dy 3.54-3.56, 6 Pm 3.57-3.59
Dy: 0.0819 0.0000 0.8598  6 Tm 3.48-3.59, 3 Dy 3.49-3.58, 3 Pm 3.54-3.56
Dy: 0.4181 0.5000 0.1402  6 Tm 3.48-3.59, 3 Dy 3.49-3.58, 3 Pm 3.54-3.56
Dy: 0.5819 0.5000 0.8598  6 Tm 3.48-3.59, 3 Dy 3.49-3.58, 3 Pm 3.54-3.56
Dy: 0.9181 0.0000 0.1402  6 Tm 3.48-3.59, 3 Dy 3.49-3.58, 3 Pm 3.54-3.56
Tm: 0.0816 0.5000 0.3610  3 Tm 3.47-3.58, 6 Dy 3.48-3.59, 3 Pm 3.54-3.55
Tm: 0.4184 0.0000 0.6390  3 Tm 3.47-3.58, 6 Dy 3.48-3.59, 3 Pm 3.54-3.55
Tm: 0.5816 0.0000 0.3610  3 Tm 3.47-3.58, 6 Dy 3.48-3.59, 3 Pm 3.54-3.55
Tm: 0.9184 0.5000 0.6390  3 Tm 3.47-3.58, 6 Dy 3.48-3.59, 3 Pm 3.54-3.55

Results
Symmetry   No. 12
Crystal system   monoclinic
Distance to the lowest polymorph of the same formula   0.00 eV/f.u.
E_form   -0.005 eV/atom


(3)
Density functional theory data (PBE) for a relaxed structure of BIr2Pt.

Unit cell a=6.0225 b=6.0225 c=6.0225 alpha=90.00 beta=90.00 gamma=90.00
With the nearest neighbours (Å) after each atom.
Sites, in units of the cell vectors:
B: 0.0000 0.0000 0.0000  4 Ir 2.61, 4 Pt 2.61
B: 0.0000 0.5000 0.5000  4 Ir 2.61, 4 Pt 2.61
B: 0.5000 0.0000 0.5000  4 Ir 2.61, 4 Pt 2.61
B: 0.5000 0.5000 0.0000  4 Ir 2.61, 4 Pt 2.61
Ir: 0.0000 0.0000 0.5000  4 Ir 2.61, 4 Pt 2.61
Ir: 0.0000 0.5000 0.0000  4 Ir 2.61, 4 Pt 2.61
Ir: 0.2500 0.2500 0.7500  4 B 2.61, 4 Ir 2.61
Ir: 0.2500 0.7500 0.2500  4 B 2.61, 4 Ir 2.61
Ir: 0.5000 0.0000 0.0000  4 Ir 2.61, 4 Pt 2.61
Ir: 0.5000 0.5000 0.5000  4 Ir 2.61, 4 Pt 2.61
Ir: 0.7500 0.2500 0.2500  4 B 2.61, 4 Ir 2.61
Ir: 0.7500 0.7500 0.7500  4 B 2.61, 4 Ir 2.61
Pt: 0.2500 0.2500 0.2500  4 Ir 2.61, 4 B 2.61
Pt: 0.2500 0.7500 0.7500  4 B 2.61, 4 Ir 2.61
Pt: 0.7500 0.2500 0.7500  4 B 2.61, 4 Ir 2.61
Pt: 0.7500 0.7500 0.2500  4 B 2.61, 4 Ir 2.61

Results
Symmetry   No. 216
Crystal system   cubic
Energy   -108.3 eV per cell


(4)
Density functional theory data (PBE) for a relaxed structure of HfNbCoB.

Unit cell a=6.0902 b=6.0902 c=6.0902 alpha=90.00 beta=90.00 gamma=90.00
With the nearest neighbours (Å) after each atom.
Sites, in units of the cell vectors:
Hf: 0.0000 0.0000 0.0000  4 Nb 2.64, 4 Co 2.64
Hf: 0.0000 0.5000 0.5000  4 Nb 2.64, 4 Co 2.64
Hf: 0.5000 0.0000 0.5000  4 Nb 2.64, 4 Co 2.64
Hf: 0.5000 0.5000 0.0000  4 Nb 2.64, 4 Co 2.64
Nb: 0.2500 0.2500 0.2500  4 Hf 2.64, 4 B 2.64
Nb: 0.2500 0.7500 0.7500  4 Hf 2.64, 4 B 2.64
Nb: 0.7500 0.2500 0.7500  4 Hf 2.64, 4 B 2.64
Nb: 0.7500 0.7500 0.2500  4 Hf 2.64, 4 B 2.64
Co: 0.2500 0.2500 0.7500  4 Hf 2.64, 4 B 2.64
Co: 0.2500 0.7500 0.2500  4 Hf 2.64, 4 B 2.64
Co: 0.7500 0.2500 0.2500  4 Hf 2.64, 4 B 2.64
Co: 0.7500 0.7500 0.7500  4 B 2.64, 4 Hf 2.64
B: 0.0000 0.0000 0.5000  4 Nb 2.64, 4 Co 2.64
B: 0.0000 0.5000 0.0000  4 Nb 2.64, 4 Co 2.64
B: 0.5000 0.0000 0.0000  4 Nb 2.64, 4 Co 2.64
B: 0.5000 0.5000 0.5000  4 Nb 2.64, 4 Co 2.64

Results
Symmetry   No. 216
Crystal system   cubic
Distance to the lowest polymorph of the same formula   0.00 eV/f.u.